Entry 1:
A relaxed K2Ta2PbO7 crystal. Source: the Open Quantum Materials Database, functional PBE.

Calculated values
The theoretical density comes out at 7.29 g cm⁻³. For the calculated volume, the calculation gives 14.41 Å³ per atom. The symmetry is I4/mmm (139). The calculation puts the raw total energy at -0.5688 Ry per atom.

Unit cell a=11.2070 b=11.2070 c=11.2070 alpha=159.47 beta=159.47 gamma=29.19
Atoms (fractional coordinates):
K (0.1940, 0.1940, 0.0000)
K (0.8060, 0.8060, 0.0000)
O (0.3154, 0.3154, 0.0000)
O (0.5000, 0.5000, 0.0000)
O (0.6846, 0.6846, 0.0000)
O (0.5911, 0.0911, 0.5000)
O (0.9089, 0.4089, 0.5000)
O (0.0911, 0.5911, 0.5000)
O (0.4089, 0.9089, 0.5000)
Pb (0.0000, 0.0000, 0.0000)
Ta (0.4012, 0.4012, 0.0000)
Ta (0.5988, 0.5988, 0.0000)

=====

Entry 2:
A relaxed TaTlAgTe2S crystal. Source: the Open Quantum Materials Database, functional PBE.

Calculated values
The theoretical density comes out at 7.53 g cm⁻³. For the calculated volume, the calculation gives 28.69 Å³ per atom. The symmetry is Cmcm (63). The calculation puts the raw total energy at -0.3531 Ry per atom.

Unit cell a=9.0592 b=9.0592 c=9.7511 alpha=90.00 beta=90.00 gamma=154.52
Each line ends with the local moment (μB).
Atoms (fractional coordinates):
Ag (0.9161, 0.0839, 0.2500)  0.01
Ag (0.0839, 0.9161, 0.7500)  0.01
S (0.5097, 0.4903, 0.2500)  -0.01
S (0.4903, 0.5097, 0.7500)  -0.01
Ta (0.5000, 0.5000, 0.0000)  0.07
Ta (0.5000, 0.5000, 0.5000)  0.07
Te (0.1193, 0.8807, 0.0210)  0.00
Te (0.1193, 0.8807, 0.4790)  0.00
Te (0.8807, 0.1193, 0.5210)  0.00
Te (0.8807, 0.1193, 0.9790)  0.00
Tl (0.2775, 0.7225, 0.2500)  0.00
Tl (0.7225, 0.2775, 0.7500)  0.00

=====

Question: The lowest theoretical density belongs to which entry?
Answer: K2Ta2PbO7